(1)
VASP calculation (PBE) on a relaxed structure of VCuP2S.

The calculation puts the raw formation energy at 816 meV/atom. As for the space-group type: No. 123. Its energy above the most stable polymorph in this dataset is 360.4 meV/atom. As for the mass density: 3.855 Mg/m³. The value obtained for the density of states at the Fermi level is 5.64 states/eV/f.u.

Cell: 4.3909 4.3909 4.6581 Å, 90.00 90.00 90.00°
Each line ends with the local moment (μB).
Element x y z (fractional)
P: 0.0000 0.5000 0.0000  -0.10
P: 0.5000 0.0000 0.0000  -0.10
S: 0.0000 0.0000 0.5000  -0.10
Cu: 0.0000 0.0000 0.0000  -0.02
V: 0.5000 0.5000 0.5000  2.64

(2)
VASP calculation (PBE) on a relaxed structure of VCuP2S.

The calculation puts the raw formation energy at 456 meV/atom. As for the space-group type: No. 123. Its energy above the most stable polymorph in this dataset is 0.0 meV/atom. As for the mass density: 3.750 Mg/m³. The value obtained for the density of states at the Fermi level is 4.27 states/eV/f.u.

Cell: 4.5610 4.5610 4.4383 Å, 90.00 90.00 90.00°
Element x y z (fractional)
P: 0.0000 0.5000 0.0000
P: 0.5000 0.0000 0.0000
S: 0.0000 0.0000 0.5000
Cu: 0.5000 0.5000 0.5000
V: 0.0000 0.0000 0.0000

(3)
VASP calculation (PBE) on a relaxed structure of CuP2WS.

The calculation puts the raw formation energy at 1312 meV/atom. As for the space-group type: No. 123. Its energy above the most stable polymorph in this dataset is 625.7 meV/atom. As for the mass density: 6.833 Mg/m³. The value obtained for the density of states at the Fermi level is 5.38 states/eV/f.u.

Cell: 4.3590 4.3590 4.3667 Å, 90.00 90.00 90.00°
Element x y z (fractional)
P: 0.0000 0.5000 0.0000
P: 0.5000 0.0000 0.0000
S: 0.0000 0.0000 0.5000
Cu: 0.0000 0.0000 0.0000
W: 0.5000 0.5000 0.5000

(4)
VASP calculation (PBE) on a relaxed structure of CuP2WS.

The calculation puts the raw formation energy at 686 meV/atom. As for the space-group type: No. 123. Its energy above the most stable polymorph in this dataset is 0.0 meV/atom. As for the mass density: 5.488 Mg/m³. The value obtained for the density of states at the Fermi level is 3.16 states/eV/f.u.

Cell: 4.7563 4.7563 4.5662 Å, 90.00 90.00 90.00°
Element x y z (fractional)
P: 0.0000 0.5000 0.0000
P: 0.5000 0.0000 0.0000
S: 0.0000 0.0000 0.5000
Cu: 0.5000 0.5000 0.5000
W: 0.0000 0.0000 0.0000

(5)
VASP calculation (PBE) on a relaxed structure of YCuP2S.

The calculation puts the raw formation energy at -156 meV/atom. As for the space-group type: No. 123. Its energy above the most stable polymorph in this dataset is 0.0 meV/atom. As for the mass density: 4.312 Mg/m³. The value obtained for the density of states at the Fermi level is 3.32 states/eV/f.u.

Cell: 4.4633 4.4633 4.7647 Å, 90.00 90.00 90.00°
Element x y z (fractional)
Y: 0.5000 0.5000 0.5000
P: 0.0000 0.5000 0.0000
P: 0.5000 0.0000 0.0000
S: 0.0000 0.0000 0.5000
Cu: 0.0000 0.0000 0.0000

(6)
VASP calculation (PBE) on a relaxed structure of YCuP2S.

The calculation puts the raw formation energy at 716 meV/atom. As for the space-group type: No. 123. Its energy above the most stable polymorph in this dataset is 871.3 meV/atom. As for the mass density: 2.828 Mg/m³. The value obtained for the density of states at the Fermi level is 4.20 states/eV/f.u.

Cell: 5.3030 5.3030 5.1464 Å, 90.00 90.00 90.00°
Each line ends with the local moment (μB).
Element x y z (fractional)
Y: 0.0000 0.0000 0.0000  0.00
P: 0.0000 0.5000 0.0000  0.17
P: 0.5000 0.0000 0.0000  0.17
S: 0.0000 0.0000 0.5000  0.12
Cu: 0.5000 0.5000 0.5000  0.02

(7)
VASP calculation (PBE) on a relaxed structure of ZnCuP2S.

The calculation puts the raw formation energy at 812 meV/atom. As for the space-group type: No. 123. Its energy above the most stable polymorph in this dataset is 0.0 meV/atom. As for the mass density: 3.958 Mg/m³. The value obtained for the density of states at the Fermi level is 3.99 states/eV/f.u.

Cell: 4.4656 4.4656 4.6913 Å, 90.00 90.00 90.00°
Each line ends with the local moment (μB).
Element x y z (fractional)
P: 0.0000 0.5000 0.0000  0.07
P: 0.5000 0.0000 0.0000  0.07
Zn: 0.5000 0.5000 0.5000  0.00
S: 0.0000 0.0000 0.5000  0.03
Cu: 0.0000 0.0000 0.0000  0.01

(8)
VASP calculation (PBE) on a relaxed structure of ZnCuPS2.

The calculation puts the raw formation energy at 700 meV/atom. As for the space-group type: No. 123. Its energy above the most stable polymorph in this dataset is 0.0 meV/atom. As for the mass density: 3.930 Mg/m³. The value obtained for the density of states at the Fermi level is 3.69 states/eV/f.u.

Cell: 4.6839 4.6839 4.3156 Å, 90.00 90.00 90.00°
Element x y z (fractional)
P: 0.0000 0.0000 0.5000
Zn: 0.5000 0.5000 0.5000
S: 0.0000 0.5000 0.0000
S: 0.5000 0.0000 0.0000
Cu: 0.0000 0.0000 0.0000

(9)
VASP calculation (PBE) on a relaxed structure of ZrCuP2S.

The calculation puts the raw formation energy at 258 meV/atom. As for the space-group type: No. 123. Its energy above the most stable polymorph in this dataset is 0.0 meV/atom. As for the mass density: 4.623 Mg/m³. The value obtained for the density of states at the Fermi level is 3.12 states/eV/f.u.

Cell: 4.4201 4.4201 4.5741 Å, 90.00 90.00 90.00°
Element x y z (fractional)
P: 0.0000 0.5000 0.0000
P: 0.5000 0.0000 0.0000
S: 0.0000 0.0000 0.5000
Cu: 0.0000 0.0000 0.0000
Zr: 0.5000 0.5000 0.5000

(10)
VASP calculation (PBE) on a relaxed structure of ZrCuP2S.

The calculation puts the raw formation energy at 492 meV/atom. As for the space-group type: No. 123. Its energy above the most stable polymorph in this dataset is 233.8 meV/atom. As for the mass density: 3.305 Mg/m³. The value obtained for the density of states at the Fermi level is 5.20 states/eV/f.u.

Cell: 5.0427 5.0427 4.9154 Å, 90.00 90.00 90.00°
Element x y z (fractional)
P: 0.0000 0.5000 0.0000
P: 0.5000 0.0000 0.0000
S: 0.0000 0.0000 0.5000
Cu: 0.5000 0.5000 0.5000
Zr: 0.0000 0.0000 0.0000

(11)
VASP calculation (PBE) on a relaxed structure of CuSbP2.

The calculation puts the raw formation energy at 204 meV/atom. As for the space-group type: No. 8. As for the mass density: 5.842 Mg/m³. The value obtained for the density of states at the Fermi level is 2.15 states/eV/f.u.

Cell: 3.5397 3.5397 6.7246 Å, 74.27 74.27 61.51°
Element x y z (fractional)
Cu: 0.7387 0.7387 0.7858
P: 0.0013 0.0013 0.9999
P: 0.2613 0.2613 0.2097
Sb: 0.4987 0.4987 0.5046

(12)
VASP calculation (PBE) on a relaxed structure of Cu2SbP.

The calculation puts the raw formation energy at 255 meV/atom. As for the space-group type: No. 122. Its energy above the most stable polymorph in this dataset is 148.1 meV/atom. As for the mass density: 5.588 Mg/m³. The value obtained for the density of states at the Fermi level is 2.07 states/eV/f.u.

Cell: 5.8162 5.8162 6.4098 Å, 63.02 63.02 90.00°
Element x y z (fractional)
Sb: 0.0000 0.0000 0.0000
Sb: 0.7500 0.2500 0.5000
Cu: 0.5726 0.1250 0.2500
Cu: 0.1774 0.6250 0.2500
Cu: 0.3750 0.4274 0.7500
Cu: 0.8750 0.8226 0.7500
P: 0.5000 0.5000 0.0000
P: 0.2500 0.7500 0.5000

(13)
VASP calculation (PBE) on a relaxed structure of Cu3SbP.

The calculation puts the raw formation energy at 1050 meV/atom. As for the space-group type: No. 221. Its energy above the most stable polymorph in this dataset is 735.8 meV/atom. As for the mass density: 5.048 Mg/m³. The value obtained for the density of states at the Fermi level is 3.94 states/eV/f.u.

Cell: 4.8340 4.8340 4.8340 Å, 90.00 90.00 90.00°
Each line ends with the local moment (μB).
Element x y z (fractional)
Sb: 0.0000 0.0000 0.0000  0.10
Cu: 0.0000 0.5000 0.0000  0.12
Cu: 0.0000 0.0000 0.5000  0.10
Cu: 0.5000 0.0000 0.0000  0.11
P: 0.5000 0.5000 0.5000  0.73